Record 1
{"formula": "P2SeN", "functional": "PBE", "state": "optimized geometry", "dft_energy_ev_per_atom": -4.9058, "density_g_cm3": 4.080, "dos_ef_per_ev_cell": 4.872, "polymorph_energy_ev_per_fu": 0.000, "crystal_system": "tetragonal", "e_form_raw_mev_per_atom": 752, "lattice_angstrom": [[-2.1941, 3.9307, -0.3612], [0.2032, -0.3002, -4.5015], [-6.3929, -1.2014, -2.4738]], "species": ["N", "N", "P", "P", "P", "P", "Se", "Se"], "fractional_positions": [[0.2500, 0.7500, 0.5000], [0.5000, 0.5000, 0.0000], [0.3750, 0.5182, 0.7500], [0.4818, 0.1250, 0.2500], [0.8750, 0.7318, 0.7500], [0.2682, 0.6250, 0.2500], [0.7500, 0.2500, 0.5000], [0.0000, 0.0000, 0.0000]]}



Record 2
{"formula": "CeY2Th3As6", "functional": "PBE", "state": "optimized geometry", "dft_energy_ev_per_atom": -7.2130, "density_g_cm3": 7.691, "dos_ef_per_ev_cell": 9.585, "crystal_system": "monoclinic", "lattice_angstrom": [[-1.5237, 1.7344, 3.5265], [-3.3277, -7.3910, 2.1973], [9.1168, -1.1606, 1.9909]], "species": ["Ce", "Th", "Th", "Th", "As", "As", "As", "As", "As", "As", "Y", "Y"], "fractional_positions": [[0.5000, 0.0000, 0.0000], [0.1664, 0.8318, 0.3329], [0.5000, 0.5000, 0.0000], [0.8336, 0.1682, 0.6671], [0.9979, 0.7509, 0.9958], [0.3334, 0.9126, 0.6668], [0.3317, 0.4209, 0.6633], [0.0021, 0.2491, 0.0042], [0.6683, 0.5791, 0.3367], [0.6666, 0.0874, 0.3332], [0.1675, 0.3344, 0.3351], [0.8325, 0.6656, 0.6649]]}



Record 3
{"formula": "MoPd3N", "functional": "PBE", "state": "optimized geometry", "dft_energy_ev_per_atom": -6.3108, "density_g_cm3": 9.733, "dos_ef_per_ev_cell": 4.125, "polymorph_energy_ev_per_fu": 0.000, "crystal_system": "cubic", "e_form_raw_mev_per_atom": 636, "lattice_angstrom": [[4.1837, 0.0000, 0.0000], [0.0000, 4.1837, 0.0000], [0.0000, 0.0000, 4.1837]], "species": ["Mo", "Pd", "Pd", "Pd", "N"], "fractional_positions": [[0.5000, 0.5000, 0.5000], [0.0000, 0.0000, 0.5000], [0.5000, 0.0000, 0.0000], [0.0000, 0.5000, 0.0000], [0.0000, 0.0000, 0.0000]]}



Record 4
{"formula": "Ta3TeH", "functional": "PBE", "state": "optimized geometry", "dft_energy_ev_per_atom": -8.1512, "density_g_cm3": 14.351, "dos_ef_per_ev_cell": 4.399, "polymorph_energy_ev_per_fu": 0.000, "crystal_system": "cubic", "lattice_angstrom": [[-1.7342, -1.5113, 3.5940], [3.8184, -1.4528, 1.2316], [0.7874, 3.7166, 1.9428]], "species": ["Te", "H", "Ta", "Ta", "Ta"], "fractional_positions": [[0.5000, 0.5000, 0.5000], [0.0000, 0.0000, 0.0000], [0.5000, 0.0000, 0.0000], [0.0000, 0.5000, 0.0000], [0.0000, 0.0000, 0.5000]]}



Record 5
{"formula": "Tb6MgNi", "functional": "PBE", "state": "optimized geometry", "dft_energy_ev_per_atom": -4.2385, "density_g_cm3": 6.867, "dos_ef_per_ev_cell": 12.826, "crystal_system": "triclinic", "lattice_angstrom": [[6.9609, 0.0111, 0.0013], [3.4750, 6.0476, 0.0075], [3.4608, 2.0091, 5.9626]], "species": ["Tb", "Tb", "Tb", "Tb", "Tb", "Tb", "Ni", "Mg"], "fractional_positions": [[0.9756, 0.5774, 0.2416], [0.5775, 0.2051, 0.2419], [0.2059, 0.9764, 0.2419], [0.7941, 0.0236, 0.7581], [0.4225, 0.7949, 0.7581], [0.0244, 0.4226, 0.7584], [0.0000, 0.0000, 0.0000], [0.5000, 0.5000, 0.5000]]}



Record 6
{"formula": "MgGeSeN2", "functional": "PBE", "state": "optimized geometry", "dft_energy_ev_per_atom": -4.6255, "density_g_cm3": 4.197, "dos_ef_per_ev_cell": 2.785, "polymorph_energy_ev_per_fu": 0.000, "crystal_system": "tetragonal", "e_form_raw_mev_per_atom": 644, "lattice_angstrom": [[-1.6093, 2.0069, 2.7071], [-0.4833, -3.1064, 2.0156], [5.1659, 0.8027, 2.4759]], "species": ["Se", "N", "N", "Ge", "Mg"], "fractional_positions": [[0.0000, 0.0000, 0.5000], [0.5000, 0.0000, 0.0000], [0.0000, 0.5000, 0.0000], [0.0000, 0.0000, 0.0000], [0.5000, 0.5000, 0.5000]]}



Record 7
{"formula": "Ag2Hg", "functional": "PBE", "state": "optimized geometry", "dft_energy_ev_per_atom": -1.9508, "density_g_cm3": 11.893, "dos_ef_per_ev_cell": 1.936, "polymorph_energy_ev_per_fu": 0.000, "crystal_system": "orthorhombic", "lattice_angstrom": [[-7.3534, -2.3671, 0.1722], [6.8677, 2.0026, 2.9206], [-1.4844, 4.6339, 0.3131]], "species": ["Hg", "Hg", "Ag", "Ag", "Ag", "Ag"], "fractional_positions": [[0.6696, 0.3304, 0.0000], [0.8860, 0.1140, 0.5000], [0.2166, 0.7834, 0.5000], [0.5525, 0.4475, 0.5000], [0.3389, 0.6611, 0.0000], [0.0030, 0.9970, 0.0000]]}



Record 8
{"formula": "LiTa2O2", "functional": "PBE", "state": "optimized geometry", "dft_energy_ev_per_atom": -8.1585, "density_g_cm3": 9.927, "dos_ef_per_ev_cell": 3.657, "polymorph_energy_ev_per_fu": 0.000, "crystal_system": "tetragonal", "e_form_raw_mev_per_atom": -1051, "lattice_angstrom": [[-3.3771, 0.7011, -1.6470], [-1.3303, -3.3361, 1.3075], [-3.7920, 0.7581, 3.6629]], "species": ["Ta", "Ta", "O", "O", "Li"], "fractional_positions": [[0.3555, 0.3555, 0.2890], [0.6445, 0.6445, 0.7110], [0.2500, 0.7500, 0.5000], [0.7500, 0.2500, 0.5000], [0.0000, 0.0000, 0.0000]]}



Record 9
{"formula": "AcPa2Re", "functional": "PBE", "state": "optimized geometry", "dft_energy_ev_per_atom": -8.3897, "density_g_cm3": 11.161, "dos_ef_per_ev_cell": 8.373, "polymorph_energy_ev_per_fu": 1.153, "crystal_system": "trigonal", "lattice_angstrom": [[-0.6073, -3.8004, -0.2446], [2.1897, -2.1566, -2.3294], [7.0631, -3.5166, 6.7032]], "species": ["Pa", "Pa", "Ac", "Re"], "fractional_positions": [[0.1144, 0.1144, 0.6569], [0.8856, 0.8856, 0.3431], [0.0000, 0.0000, 0.0000], [0.5000, 0.5000, 0.5000]]}



Record 10
{"formula": "KZnP2", "functional": "PBE", "state": "optimized geometry", "dft_energy_ev_per_atom": -2.7288, "density_g_cm3": 3.366, "dos_ef_per_ev_cell": 3.280, "crystal_system": "cubic", "lattice_angstrom": [[4.8787, 0.0000, 0.0000], [2.4394, 4.2251, 0.0000], [2.4394, 1.4084, 3.9835]], "species": ["K", "P", "P", "Zn"], "fractional_positions": [[0.5000, 0.5000, 0.5000], [0.0000, 0.0000, 0.0000], [0.2500, 0.2500, 0.2500], [0.7500, 0.7500, 0.7500]]}



Record 11
{"formula": "Ho2Al9Ir3", "functional": "PBE", "state": "optimized geometry", "dft_energy_ev_per_atom": -5.8172, "density_g_cm3": 8.141, "dos_ef_per_ev_cell": 11.835, "polymorph_energy_ev_per_fu": 0.031, "crystal_system": "monoclinic", "lattice_angstrom": [[-5.1525, 0.2955, -5.5352], [-1.3082, -4.1227, 6.2101], [-0.1469, 8.6913, 5.7669]], "species": ["Al", "Al", "Al", "Al", "Al", "Al", "Al", "Al", "Al", "Al", "Al", "Al", "Al", "Al", "Al", "Al", "Al", "Al", "Ho", "Ho", "Ho", "Ho", "Ir", "Ir", "Ir", "Ir", "Ir", "Ir"], "fractional_positions": [[0.7862, 0.3084, 0.9280], [0.1307, 0.9831, 0.9448], [0.1202, 0.8702, 0.2500], [0.4617, 0.8142, 0.4448], [0.3286, 0.2886, 0.2480], [0.5405, 0.0805, 0.2520], [0.4504, 0.6421, 0.9256], [0.2138, 0.6916, 0.0720], [0.8798, 0.1298, 0.7500], [0.2165, 0.5248, 0.5744], [0.7835, 0.4752, 0.4256], [0.6714, 0.7114, 0.7520], [0.1196, 0.1418, 0.4280], [0.4595, 0.9195, 0.7480], [0.8693, 0.0169, 0.0552], [0.8804, 0.8582, 0.5720], [0.5496, 0.3579, 0.0744], [0.5383, 0.1858, 0.5552], [0.3363, 0.2479, 0.7501], [0.9978, 0.5862, 0.7499], [0.6637, 0.7521, 0.2499], [0.0022, 0.4138, 0.2501], [0.8275, 0.6560, 0.9993], [0.5000, 0.5000, 0.5000], [0.1725, 0.3440, 0.0007], [0.1566, 0.8281, 0.5007], [0.5000, 0.0000, 0.0000], [0.8434, 0.1719, 0.4993]]}



Record 12
{"formula": "YNiAg4", "functional": "PBE", "state": "optimized geometry", "dft_energy_ev_per_atom": -3.9031, "density_g_cm3": 8.307, "dos_ef_per_ev_cell": 4.486, "crystal_system": "cubic", "lattice_angstrom": [[-3.2849, -4.1006, 1.5233], [-3.4459, 0.6701, 4.1955], [-5.3846, 0.3270, -0.9084]], "species": ["Ni", "Ag", "Ag", "Ag", "Ag", "Y"], "fractional_positions": [[0.7500, 0.7500, 0.7500], [0.3755, 0.3755, 0.3755], [0.3755, 0.8735, 0.3755], [0.3755, 0.3755, 0.8735], [0.8735, 0.3755, 0.3755], [0.0000, 0.0000, 0.0000]]}